Entry 1:
Computed, not measured: an optimized crystal structure of CaAg2Au6 at the GGA-PBE level of DFT.

Cell lengths 4.899, 4.899, 9.986 Å; angles 90.00, 90.00, 120.00 degrees
Element x y z (fractional)
Ca 0.000 0.000 0.000
Ag 0.333 0.667 0.500
Ag 0.667 0.333 0.500
Au 0.000 0.334 0.745
Au 0.000 0.666 0.255
Au 0.334 0.000 0.745
Au 0.334 0.334 0.255
Au 0.666 0.000 0.255
Au 0.666 0.666 0.745

Properties
Space group = P-31m
Final energy = -3.17 eV per atom
ΔH_f (0 K) = -125 meV per atom

=====

Entry 2:
Computed, not measured: an optimized crystal structure of CaAgAu2 at the GGA-PBE level of DFT.

Cell lengths 3.797, 4.361, 5.694 Å; angles 90.00, 108.81, 90.00 degrees
Element x y z (fractional)
Ca 0.000 0.000 0.000
Ag 0.699 0.500 0.389
Au 0.272 0.000 0.533
Au 0.430 0.500 0.854

Properties
Space group = Pm
Final energy = -3.27 eV per atom
ΔH_f (0 K) = -419 meV per atom

=====

Entry 3:
Computed, not measured: an optimized crystal structure of Ca2Ag5Au4 at the GGA-PBE level of DFT.

Cell lengths 10.452, 9.767, 5.440 Å; angles 81.48, 67.54, 30.98 degrees
Element x y z (fractional)
Ca 0.134 0.134 0.866
Ca 0.866 0.866 0.134
Ag 0.000 0.000 0.500
Ag 0.250 0.250 0.250
Ag 0.500 0.500 0.000
Ag 0.500 0.500 0.500
Ag 0.750 0.750 0.750
Au 0.211 0.532 0.468
Au 0.468 0.789 0.211
Au 0.532 0.211 0.789
Au 0.789 0.468 0.532

Properties
Space group = Fmmm
Final energy = -3.15 eV per atom
ΔH_f (0 K) = -298 meV per atom

=====

Entry 4:
Computed, not measured: an optimized crystal structure of Ca2AgAu6 at the GGA-PBE level of DFT.

Cell lengths 5.942, 5.942, 6.337 Å; angles 90.02, 90.02, 59.86 degrees
Element x y z (fractional)
Ca 0.166 0.166 0.150
Ca 0.834 0.834 0.850
Ag 0.500 0.500 0.000
Au 0.148 0.676 0.325
Au 0.323 0.323 0.676
Au 0.324 0.852 0.675
Au 0.676 0.148 0.325
Au 0.677 0.677 0.324
Au 0.852 0.324 0.675

Properties
Space group = C2/m
Final energy = -3.40 eV per atom
ΔH_f (0 K) = -455 meV per atom

=====

Entry 5:
Computed, not measured: an optimized crystal structure of Ca5AgAu4 at the GGA-PBE level of DFT.

Cell lengths 3.672, 3.672, 18.100 Å; angles 90.00, 90.00, 90.00 degrees
Element x y z (fractional)
Ca 0.000 0.000 0.000
Ca 0.000 0.000 0.198
Ca 0.000 0.000 0.395
Ca 0.000 0.000 0.605
Ca 0.000 0.000 0.802
Ag 0.500 0.500 0.500
Au 0.500 0.500 0.099
Au 0.500 0.500 0.299
Au 0.500 0.500 0.701
Au 0.500 0.500 0.901

Properties
Space group = P4/mmm
Final energy = -3.29 eV per atom
ΔH_f (0 K) = -698 meV per atom

=====

Entry 6:
Computed, not measured: an optimized crystal structure of CaAgAu3 at the GGA-PBE level of DFT.

Cell lengths 7.230, 7.230, 7.230 Å; angles 147.29, 147.29, 46.94 degrees
Element x y z (fractional)
Ca 0.000 0.000 0.000
Ag 0.619 0.619 0.000
Au 0.267 0.767 0.500
Au 0.418 0.418 0.000
Au 0.767 0.267 0.500

Properties
Excess energy over the best structure of this formula in the dataset = 60.3 meV per atom
Space group = I4mm
Final energy = -3.27 eV per atom
ΔH_f (0 K) = -335 meV per atom

=====

Entry 7:
Computed, not measured: an optimized crystal structure of CaAg2Au8 at the GGA-PBE level of DFT.

Cell lengths 7.891, 7.891, 6.686 Å; angles 105.02, 105.02, 30.86 degrees
Element x y z (fractional)
Ca 0.000 0.000 0.000
Ag 0.274 0.274 0.367
Ag 0.726 0.726 0.633
Au 0.093 0.093 0.457
Au 0.185 0.185 0.914
Au 0.361 0.361 0.812
Au 0.452 0.452 0.279
Au 0.548 0.548 0.721
Au 0.639 0.639 0.188
Au 0.815 0.815 0.086
Au 0.907 0.907 0.543

Properties
Excess energy over the best structure of this formula in the dataset = 0.0 meV per atom
Space group = C2/m
Final energy = -3.30 eV per atom
ΔH_f (0 K) = -213 meV per atom

=====

Entry 8:
Computed, not measured: an optimized crystal structure of Ca11Ag9Au4 at the GGA-PBE level of DFT.

Cell lengths 13.123, 13.123, 3.761 Å; angles 90.00, 90.00, 111.24 degrees
Element x y z (fractional)
Ca 0.000 0.000 0.000
Ca 0.066 0.409 0.000
Ca 0.168 0.832 0.000
Ca 0.289 0.289 0.000
Ca 0.364 0.636 0.000
Ca 0.409 0.066 0.000
Ca 0.591 0.934 0.000
Ca 0.636 0.364 0.000
Ca 0.711 0.711 0.000
Ca 0.832 0.168 0.000
Ca 0.934 0.591 0.000
Ag 0.065 0.211 0.500
Ag 0.157 0.630 0.500
Ag 0.211 0.065 0.500
Ag 0.370 0.843 0.500
Ag 0.500 0.500 0.500
Ag 0.630 0.157 0.500
Ag 0.789 0.935 0.500
Ag 0.843 0.370 0.500
Ag 0.935 0.789 0.500
Au 0.252 0.449 0.500
Au 0.449 0.252 0.500
Au 0.551 0.748 0.500
Au 0.748 0.551 0.500

Properties
Space group = Cmmm
Final energy = -2.98 eV per atom
ΔH_f (0 K) = -445 meV per atom